1.
Ac2PrSi: relaxed, PBE.

Calculated values
energy above the lowest structure with this stoichiometry = 0 meV/atom
E_form (uncorrected) = -0.1104 eV per atom
calculated volume = 32.14 Å³ per atom
SG = P4/mmm (123)
magnetic moment = 0.00 Bohr magnetons per cell

Geometry as extended XYZ:
```
4
Lattice="5.1144 0.0000 0.0000 0.0000 5.1144 0.0000 0.0000 0.0000 4.9153" Properties=species:S:1:pos:R:3 pbc="T T T"
Ac 0.0000 2.5572 0.0000
Ac 2.5572 0.0000 0.0000
Pr 0.0000 0.0000 2.4577
Si 2.5572 2.5572 2.4577
```

***

2.
Li2NdCd9: relaxed, PBE.

Calculated values
ΔE_f = -0.219 eV per atom
calculated volume = 21.64 Å³ per atom
SG = I4_1/amd (141)
magnetic moment = 0.00 Bohr magnetons per cell

Geometry as extended XYZ:
```
24
Lattice="-5.8918 5.8918 3.7397 5.8918 -5.8918 3.7397 5.8918 5.8918 -3.7397" Properties=species:S:1:pos:R:3 pbc="T T T"
Li 0.0000 0.0000 0.0000
Li 2.9459 2.9459 -1.8699
Li 2.9459 -2.9459 1.8699
Li 0.0000 5.8918 0.0000
Nd 5.8918 2.9459 0.9349
Nd 0.0000 2.9459 2.8048
Cd 5.8918 -2.9459 2.8048
Cd 4.4694 -0.6004 1.3409
Cd 7.3142 -0.6004 1.3409
Cd 2.3455 1.5235 0.5290
Cd 9.4381 1.5235 0.5290
Cd 4.4694 5.2914 -1.3409
Cd 1.4224 -0.6004 2.3988
Cd 2.3455 4.3683 0.5290
Cd 3.5463 -1.5235 4.2687
Cd 2.3455 7.4153 -0.5290
Cd 3.5463 1.5235 3.2107
Cd 4.4694 6.4922 1.3409
Cd 1.4224 0.6004 5.0806
Cd -3.5463 4.3683 3.2107
Cd 3.5463 4.3683 3.2107
Cd -1.4224 6.4922 2.3988
Cd 1.4224 6.4922 2.3988
Cd 0.0000 8.8377 0.9349
```

***

3.
HgMoAu2: relaxed, PBE.

Calculated values
ΔE_f = 0.686 eV per atom
calculated volume = 20.92 Å³ per atom
SG = I-42d (122)
magnetic moment = 5.85 Bohr magnetons per cell

Geometry as extended XYZ:
```
8
Lattice="-3.8443 3.8443 2.8313 3.8443 -3.8443 2.8313 3.8443 3.8443 -2.8313" Properties=species:S:1:pos:R:3 pbc="T T T"
Hg 0.0000 0.0000 0.0000
Hg 0.0000 3.8443 1.4156
Mo 3.8443 0.0000 1.4156
Mo 0.0000 0.0000 2.8313
Au 1.9221 -1.8150 2.1235
Au 2.0293 1.9221 0.7078
Au 1.9221 5.6593 -0.7078
Au 1.8150 1.9221 3.5391
```

***

4.
Tb3Al7Pd4: relaxed, PBE.

Calculated values
ΔE_f = -0.796 eV per atom
calculated volume = 18.64 Å³ per atom
SG = C2/m (12)
magnetic moment = 0.00 Bohr magnetons per cell

Geometry as extended XYZ:
```
14
Lattice="7.8561 -2.1457 0.0000 7.8561 2.1457 0.0000 -5.3964 0.0000 7.7390" Properties=species:S:1:pos:R:3 pbc="T T T"
Tb 0.0000 0.0000 0.0000
Tb 3.1861 0.0000 2.3695
Tb 7.1296 0.0000 5.3696
Al -2.6982 0.0000 3.8695
Al 0.0872 0.0000 3.2641
Al -0.2392 0.0000 7.5371
Al 3.9872 0.0000 5.4577
Al 6.3285 0.0000 2.2813
Al 10.5550 0.0000 0.2019
Al 10.2285 0.0000 4.4749
Pd -2.6816 0.0000 6.5165
Pd 1.4566 0.0000 5.5353
Pd 8.8591 0.0000 2.2037
Pd 12.9973 0.0000 1.2225
```